[1]
CeDyTlZn: relaxed, PBE-GGA.

Calculated values
Energy relative to the elements = -0.2406 eV per atom
Calculated total energy = -3.785 eV per atom
DOS at the Fermi energy = 2.5817 states/eV/atom

Cell lengths 7.490, 7.490, 7.490 Å; angles 90.00, 90.00, 90.00 degrees
Space group F-43m (No. 216)
One atom of each set of equivalent atoms:
1 Ce 0.000 0.000 0.000 (multiplicity 4)
2 Dy 0.000 0.000 0.500 (multiplicity 4)
3 Tl 0.250 0.250 0.250 (multiplicity 4)
4 Zn 0.250 0.250 0.750 (multiplicity 4)

---

[2]
MnRe2Sb: relaxed, PBE-GGA.

Calculated values
Calculated total energy = -8.837 eV per atom
DOS at the Fermi energy = 0.5809 states/eV/atom
E_form (uncorrected) = 2.84 eV per formula unit

Cell lengths 3.910, 3.910, 18.890 Å; angles 90.00, 90.00, 90.00 degrees
Space group I-42d (No. 122)
One atom of each set of equivalent atoms:
1 Mn 0.000 0.000 0.000 (multiplicity 4)
2 Re 0.190 0.250 0.125 (multiplicity 8)
3 Sb 0.000 0.000 0.500 (multiplicity 4)

---

[3]
TcIrOs2: relaxed, PBE-GGA.

Calculated values
Energy relative to the elements = 0.0461 eV per atom
Calculated total energy = -10.376 eV per atom
DOS at the Fermi energy = 0.9059 states/eV/atom
Offset from the most stable computed form = 60 meV/atom

Cell lengths 2.7360, 2.7360, 26.7187 Å; angles 90.00, 90.00, 120.00 degrees
Space group R3m (No. 160, hexagonal axes)
One atom of each set of equivalent atoms:
1 Tc 0.0000 0.0000 0.0000 (multiplicity 3)
2 Ir 0.0000 0.0000 0.7497 (multiplicity 3)
3 Os 0.0000 0.0000 0.2498 (multiplicity 3)
4 Os 0.0000 0.0000 0.5007 (multiplicity 3)

---

[4]
Na2GeSb: relaxed, PBE-GGA.

Calculated values
Calculated total energy = -2.879 eV per atom
DOS at the Fermi energy = 0.4100 states/eV/atom
Offset from the most stable computed form = 114 meV/atom
E_form (uncorrected) = -0.14 eV per formula unit

Cell lengths 10.561, 5.536, 9.665 Å; angles 90.00, 117.44, 90.00 degrees
Space group C2/c (No. 15)
One atom of each set of equivalent atoms:
1 Na 0.188 0.006 0.094 (multiplicity 8)
2 Ge 0.000 0.249 0.750 (multiplicity 4)
3 Sb 0.000 0.249 0.250 (multiplicity 4)

---

[5]
RbSc2OsO8: relaxed, PBE-GGA.

Calculated values
Calculated total energy = -7.299 eV per atom
DOS at the Fermi energy = 0.2059 states/eV/atom
E_form (uncorrected) = -23.07 eV per formula unit

Cell lengths 4.795, 7.282, 4.806 Å; angles 90.00, 90.10, 90.00 degrees
Space group P2/m (No. 10)
One atom of each set of equivalent atoms:
1 Rb 0.000 0.000 0.000 (multiplicity 1)
2 Sc 0.500 0.284 0.500 (multiplicity 2)
3 Os 0.000 0.500 0.000 (multiplicity 1)
4 O 0.197 0.320 0.805 (multiplicity 4)
5 O 0.291 0.500 0.293 (multiplicity 2)
6 O 0.388 0.000 0.391 (multiplicity 2)

---

[6]
La2HoGa2: relaxed, PBE-GGA.

Calculated values
Energy relative to the elements = -0.4723 eV per atom
Calculated total energy = -4.570 eV per atom
DOS at the Fermi energy = 0.8519 states/eV/atom
Offset from the most stable computed form = 2 meV/atom

Cell lengths 12.117, 4.776, 11.328 Å; angles 90.00, 120.07, 90.00 degrees
Space group C2/m (No. 12)
One atom of each set of equivalent atoms:
1 La 0.024 0.000 0.184 (multiplicity 4)
2 La 0.188 0.000 0.603 (multiplicity 4)
3 Ho 0.207 0.500 0.862 (multiplicity 4)
4 Ga 0.035 0.500 0.407 (multiplicity 4)
5 Ga 0.126 0.500 0.073 (multiplicity 4)

---

[7]
NiHg2Te: relaxed, PBE-GGA.

Calculated values
Calculated total energy = -1.896 eV per atom
DOS at the Fermi energy = 0.0000 states/eV/atom
E_form (uncorrected) = 1.94 eV per formula unit

Cell lengths 6.337, 6.337, 12.385 Å; angles 90.00, 90.00, 90.00 degrees
Space group I-42d (No. 122)
One atom of each set of equivalent atoms:
1 Ni 0.000 0.000 0.000 (multiplicity 4)
2 Hg 0.201 0.250 0.125 (multiplicity 8)
3 Te 0.000 0.000 0.500 (multiplicity 4)

---

[8]
LiMgAg2Sn: relaxed, PBE-GGA.

Calculated values
Energy relative to the elements = -0.1123 eV per atom
Calculated total energy = -2.755 eV per atom
DOS at the Fermi energy = 0.2786 states/eV/atom

Cell lengths 4.605, 10.413, 8.445 Å; angles 90.00, 90.00, 90.00 degrees
Space group Cmcm (No. 63)
One atom of each set of equivalent atoms:
1 Li 0.000 0.030 0.250 (multiplicity 4)
2 Mg 0.000 0.304 0.250 (multiplicity 4)
3 Ag 0.000 0.184 0.562 (multiplicity 8)
4 Sn 0.000 0.500 0.000 (multiplicity 4)

---

What is the formula in the first record? CeDyTlZn